! ZrScCo10 PBE-GGA relaxed; values from VASP
&SYSTEM
  ibrav = 0, nat = 12, ntyp = 3
/
ATOMIC_SPECIES
Zr 91.22 Zr.upf
Sc 44.96 Sc.upf
Co 58.93 Co.upf
CELL_PARAMETERS angstrom
3.9621 0.0000 0.0000
0.0000 4.7699 0.0000
0.0000 0.0000 8.2544
ATOMIC_POSITIONS crystal
Zr 0.0000 0.0000 0.0000
Sc 0.0000 0.5000 0.5000
Co 0.0000 0.0000 0.3341
Co 0.0000 0.0000 0.6659
Co 0.0000 0.5000 0.1676
Co 0.0000 0.5000 0.8324
Co 0.5000 0.0000 0.5000
Co 0.5000 0.2488 0.2487
Co 0.5000 0.2488 0.7513
Co 0.5000 0.5000 0.0000
Co 0.5000 0.7512 0.2487
Co 0.5000 0.7512 0.7513
! Space-group type: Pmmm
! Size of the total moment (μB/atom): 1.119
! Formation energy from the elements (eV/atom): -0.11
! DOS at the Fermi energy (states/eV/atom): 1.448